! CrRu3Au (PBEsol, relaxed); values from VASP
&SYSTEM
  ibrav = 0, nat = 5, ntyp = 3
/
ATOMIC_SPECIES
Cr 52.00 Cr.upf
Ru 101.07 Ru.upf
Au 196.97 Au.upf
ATOMIC_POSITIONS crystal
Cr 0.000 0.000 0.000
Ru 0.000 0.000 0.500
Ru 0.000 0.500 0.000
Ru 0.500 0.000 0.000
Au 0.500 0.500 0.500
CELL_PARAMETERS angstrom
4.337 0.000 0.000
0.000 4.337 0.000
0.000 0.000 4.337
! total magnetic moment	1.7	Bohr magnetons per cell
! energy of formation from the pure elements	1.336	eV/atom
! crystal system	cubic